Material: PmNd3Ho5
Method: DFT, PBE-GGA
State: relaxed

Geometry as POSCAR:
```
PmNd3Ho5
1.0
-7.7326 3.2690 4.5812
-2.1375 -6.3231 6.8496
-1.2287 1.9984 11.4810
Pm Nd Ho
2 6 10
direct
0.1578 0.1578 0.5956
0.8422 0.8422 0.4044
0.6997 0.6997 0.8082
0.6610 0.6610 0.3632
0.0000 0.0000 0.0000
0.0000 0.0000 0.5000
0.3003 0.3003 0.1918
0.3390 0.3390 0.6368
0.8460 0.3480 0.2481
0.2583 0.7417 0.0000
0.8158 0.8158 0.9605
0.4944 0.4944 0.2225
0.5056 0.5056 0.7775
0.1842 0.1842 0.0395
0.3480 0.8460 0.2481
0.7417 0.2583 0.0000
0.1540 0.6520 0.7519
0.6520 0.1540 0.7519
```

Summary:
**Energy relative to the elements**: 0.51 eV/atom
**Energy above the lowest structure with this stoichiometry**: 0.199 eV/atom
**V**: 665 Å³/cell
**Electronic total energy**: -4.150 eV per atom